A relaxed structure of Tb4NdGe4. Source: Alexandria via LeMat-Bulk, functional PBE.

* density: 7.0 Mg/m³
* energy: -5.219 eV/atom
* SG: P4_2/n
* calculated formation energy: -0.58 eV per atom
* total magnetic moment: 0.0 Bohr magnetons per cell

a = 9.3153 Å, b = 9.3153 Å, c = 5.8414 Å
α = 90.00°, β = 90.00°, γ = 90.00°
Sites, in units of the cell vectors:
1 Tb 0.0859 0.6504 0.1389
2 Tb 0.1504 0.9141 0.6389
3 Tb 0.3496 0.5859 0.6389
4 Tb 0.4141 0.8496 0.1389
5 Tb 0.5859 0.1504 0.8611
6 Tb 0.6504 0.4141 0.3611
7 Tb 0.8496 0.0859 0.3611
8 Tb 0.9141 0.3496 0.8611
9 Nd 0.2500 0.2500 0.2500
10 Nd 0.7500 0.7500 0.7500
11 Ge 0.0350 0.6118 0.6411
12 Ge 0.1118 0.9650 0.1411
13 Ge 0.3882 0.5350 0.1411
14 Ge 0.4650 0.8882 0.6411
15 Ge 0.5350 0.1118 0.3589
16 Ge 0.6118 0.4650 0.8589
17 Ge 0.8882 0.0350 0.8589
18 Ge 0.9650 0.3882 0.3589

***

A relaxed structure of NpMnSiOs. Source: Alexandria via LeMat-Bulk, functional PBE.

* formation energy from raw total energies: 0.0122 eV/atom
* density: 13.6 Mg/m³
* energy: -9.679 eV/atom
* SG: F-43m
* total magnetic moment: 2.2 Bohr magnetons per cell

a = 4.4458 Å, b = 4.4458 Å, c = 4.4458 Å
α = 60.00°, β = 60.00°, γ = 60.00°
Sites, in units of the cell vectors:
1 Np 0.0000 0.0000 0.0000
2 Mn 0.7500 0.7500 0.7500
3 Si 0.5000 0.5000 0.5000
4 Os 0.2500 0.2500 0.2500

***

A relaxed structure of LaTb3S4. Source: Alexandria via LeMat-Bulk, functional PBE.

* formation energy from raw total energies: -2.0102 eV/atom
* offset from the most stable computed form: 0.030 eV per atom
* density: 6.9 Mg/m³
* energy: -6.426 eV/atom
* SG: Pm-3m
* total magnetic moment: 0.0 Bohr magnetons per cell

a = 5.6443 Å, b = 5.6443 Å, c = 5.6443 Å
α = 90.00°, β = 90.00°, γ = 90.00°
Sites, in units of the cell vectors:
1 La 0.0000 0.0000 0.0000
2 Tb 0.0000 0.5000 0.5000
3 Tb 0.5000 0.0000 0.5000
4 Tb 0.5000 0.5000 0.0000
5 S 0.0000 0.0000 0.5000
6 S 0.0000 0.5000 0.0000
7 S 0.5000 0.0000 0.0000
8 S 0.5000 0.5000 0.5000

***

A relaxed structure of NbPt3Br. Source: Alexandria via LeMat-Bulk, functional PBE.

* formation energy from raw total energies: 1.2561 eV/atom
* offset from the most stable computed form: 0.180 eV per atom
* density: 12.0 Mg/m³
* energy: -4.717 eV/atom
* SG: Pm-3m
* total magnetic moment: 2.5 Bohr magnetons per cell

a = 4.7108 Å, b = 4.7108 Å, c = 4.7108 Å
α = 90.00°, β = 90.00°, γ = 90.00°
Sites, in units of the cell vectors:
1 Nb 0.0000 0.0000 0.0000
2 Pt 0.0000 0.5000 0.5000
3 Pt 0.5000 0.0000 0.5000
4 Pt 0.5000 0.5000 0.0000
5 Br 0.5000 0.5000 0.5000

***

A relaxed structure of BaCeFeN2. Source: Alexandria via LeMat-Bulk, functional PBE.

* formation energy from raw total energies: -0.6021 eV/atom
* density: 6.0 Mg/m³
* energy: -7.196 eV/atom
* SG: P2/c
* total magnetic moment: 4.0 Bohr magnetons per cell

a = 6.1635 Å, b = 4.6725 Å, c = 7.0276 Å
α = 90.00°, β = 101.21°, γ = 90.00°
Sites, in units of the cell vectors:
1 Ba 0.0000 0.1562 0.2500
2 Ba 0.0000 0.8438 0.7500
3 Ce 0.5000 0.4772 0.7500
4 Ce 0.5000 0.5228 0.2500
5 Fe 0.5000 0.0000 0.0000
6 Fe 0.5000 0.0000 0.5000
7 N 0.2863 0.2866 0.9669
8 N 0.2863 0.7134 0.4669
9 N 0.7137 0.2866 0.5331
10 N 0.7137 0.7134 0.0331

***

A relaxed structure of RbCe3Hg2Br12. Source: Alexandria via LeMat-Bulk, functional PBE.

* formation energy from raw total energies: -1.4441 eV/atom
* density: 4.0 Mg/m³
* energy: -3.636 eV/atom
* SG: R-3m
* total magnetic moment: 1.1 Bohr magnetons per cell

a = 9.7195 Å, b = 9.7195 Å, c = 9.7195 Å
α = 68.65°, β = 68.65°, γ = 68.65°
Sites, in units of the cell vectors:
1 Rb 0.0000 0.0000 0.0000
2 Ce 0.0000 0.0000 0.5000
3 Ce 0.0000 0.5000 0.0000
4 Ce 0.5000 0.0000 0.0000
5 Hg 0.4215 0.4215 0.4215
6 Hg 0.5785 0.5785 0.5785
7 Br 0.1112 0.7352 0.7352
8 Br 0.1502 0.1502 0.5593
9 Br 0.1502 0.5593 0.1502
10 Br 0.2648 0.2648 0.8888
11 Br 0.2648 0.8888 0.2648
12 Br 0.4407 0.8498 0.8498
13 Br 0.5593 0.1502 0.1502
14 Br 0.7352 0.1112 0.7352
15 Br 0.7352 0.7352 0.1112
16 Br 0.8498 0.4407 0.8498
17 Br 0.8498 0.8498 0.4407
18 Br 0.8888 0.2648 0.2648

***

Q: What is the formula in the sixth record?
A: RbCe3Hg2Br12

***

Q: Among the records above, which one has the highest energy?
A: RbCe3Hg2Br12

***

Q: What is the energy in the second record?
A: -9.679 eV/atom